Record 1
Density functional theory data (GGA-PBE) for crystalline In3TePb at its relaxed geometry.

Summary:
Excess energy over the best structure of this formula in the dataset (meV per atom): 0
Crystal system: cubic

a b c (Å): 5.8330 5.8330 5.8330
angles (deg): 90.00 90.00 90.00
Last column: nearest neighbours and their distance in Å.
Fractional positions:
In  0.0000  0.0000  0.5000  2 Pb 2.92
In  0.0000  0.5000  0.0000  2 Pb 2.92
In  0.5000  0.0000  0.0000  2 Pb 2.92
Te  0.5000  0.5000  0.5000  12 In 4.12
Pb  0.0000  0.0000  0.0000  6 In 2.92

Record 2
Density functional theory data (GGA-PBE) for crystalline InTe2Pb2 at its relaxed geometry.

Summary:
Excess energy over the best structure of this formula in the dataset (meV per atom): 0
Crystal system: tetragonal

a b c (Å): 8.8418 8.8418 4.2437
angles (deg): 90.00 90.00 90.00
Last column: nearest neighbours and their distance in Å.
Fractional positions:
In  0.0000  0.0000  0.0000  4 Te 3.35
In  0.5000  0.5000  0.0000  4 Te 3.35
Te  0.1541  0.3459  0.0000  6 Pb 3.27-3.41, 2 In 3.35
Te  0.3459  0.8459  0.0000  6 Pb 3.27-3.41, 2 In 3.35
Te  0.6541  0.1541  0.0000  6 Pb 3.27-3.41, 2 In 3.35
Te  0.8459  0.6541  0.0000  6 Pb 3.27-3.41, 2 In 3.35
Pb  0.1472  0.6472  0.5000  6 Te 3.27-3.41
Pb  0.3528  0.1472  0.5000  6 Te 3.27-3.41
Pb  0.6472  0.8528  0.5000  6 Te 3.27-3.41
Pb  0.8528  0.3528  0.5000  6 Te 3.27-3.41

Record 3
Density functional theory data (GGA-PBE) for crystalline In5Te4Pb at its relaxed geometry.

Summary:
Crystal system: orthorhombic

a b c (Å): 8.9266 11.7890 6.9092
angles (deg): 90.00 90.00 90.00
Last column: nearest neighbours and their distance in Å.
Fractional positions:
In  0.0683  0.0352  0.2010  3 Te 3.13-3.44, 2 In 3.15-3.24
In  0.0683  0.4648  0.2010  3 Te 3.13-3.44, 2 In 3.15-3.24
In  0.2500  0.7500  0.4054  4 Te 2.85-2.86
In  0.4317  0.0352  0.2010  3 Te 3.13-3.44, 2 In 3.15-3.24
In  0.4317  0.4648  0.2010  3 Te 3.13-3.44, 2 In 3.15-3.24
In  0.5683  0.5352  0.7990  3 Te 3.13-3.44, 2 In 3.15-3.24
In  0.5683  0.9648  0.7990  3 Te 3.13-3.44, 2 In 3.15-3.24
In  0.7500  0.2500  0.5946  4 Te 2.85-2.86
In  0.9317  0.5352  0.7990  3 Te 3.13-3.44, 2 In 3.15-3.24
In  0.9317  0.9648  0.7990  3 Te 3.13-3.44, 2 In 3.15-3.24
Te  0.0109  0.2500  0.8339  1 In 2.86, 1 Pb 3.08
Te  0.2500  0.5390  0.6075  3 In 2.85-3.13
Te  0.2500  0.9610  0.6075  3 In 2.85-3.13
Te  0.4891  0.2500  0.8339  1 In 2.86, 1 Pb 3.08
Te  0.5109  0.7500  0.1661  1 In 2.86, 1 Pb 3.08
Te  0.7500  0.0390  0.3925  3 In 2.85-3.13
Te  0.7500  0.4610  0.3925  3 In 2.85-3.13
Te  0.9891  0.7500  0.1661  1 In 2.86, 1 Pb 3.08
Pb  0.2500  0.2500  0.5122  2 Te 3.08
Pb  0.7500  0.7500  0.4878  2 Te 3.08

Record 4
Density functional theory data (GGA-PBE) for crystalline InTe2Pb at its relaxed geometry.

Summary:
Crystal system: trigonal

a b c (Å): 12.0886 12.0886 12.0886
angles (deg): 16.37 16.37 16.37
Last column: nearest neighbours and their distance in Å.
Fractional positions:
In  0.0000  0.0000  0.0000  3 Te 3.19, 6 In 3.44, 3 Pb 3.56
Te  0.2637  0.2637  0.2637  3 In 3.19, 6 Te 3.44
Te  0.4959  0.4959  0.4959  6 Te 3.44, 3 Pb 3.49
Pb  0.7492  0.7492  0.7492  6 Pb 3.44, 3 Te 3.49, 3 In 3.56

Record 5
Density functional theory data (GGA-PBE) for crystalline In2Te5Pb2 at its relaxed geometry.

Summary:
Crystal system: monoclinic

a b c (Å): 8.4502 8.4502 11.4761
angles (deg): 120.28 120.28 31.50
Last column: nearest neighbours and their distance in Å.
Fractional positions:
In  0.2046  0.2046  0.0912  4 Te 2.74-2.92
In  0.7954  0.7954  0.9088  4 Te 2.74-2.92
Te  0.0000  0.0000  0.5000  4 Pb 3.16
Te  0.1935  0.1935  0.3215  1 In 2.74
Te  0.3831  0.3831  0.0908  3 In 2.90-2.92
Te  0.6169  0.6169  0.9092  3 In 2.90-2.92
Te  0.8065  0.8065  0.6785  1 In 2.74
Pb  0.4048  0.4048  0.5796  5 Te 3.15-3.32
Pb  0.5952  0.5952  0.4204  5 Te 3.15-3.32

Record 6
Density functional theory data (GGA-PBE) for crystalline InTe2Pb2 at its relaxed geometry.

Summary:
Excess energy over the best structure of this formula in the dataset (meV per atom): 31
Crystal system: tetragonal

a b c (Å): 8.7389 8.7389 4.3072
angles (deg): 90.00 90.00 90.00
Last column: nearest neighbours and their distance in Å.
Fractional positions:
In  0.0000  0.0000  0.0000  4 Pb 3.36
In  0.5000  0.5000  0.0000  4 Pb 3.36
Te  0.1661  0.3339  0.5000  6 Pb 3.20-3.46
Te  0.3339  0.8339  0.5000  6 Pb 3.20-3.46
Te  0.6661  0.1661  0.5000  6 Pb 3.20-3.46
Te  0.8339  0.6661  0.5000  6 Pb 3.20-3.46
Pb  0.1423  0.6423  0.0000  6 Te 3.20-3.46, 2 In 3.36, 1 Pb 3.52
Pb  0.3577  0.1423  0.0000  6 Te 3.20-3.46, 2 In 3.36, 1 Pb 3.52
Pb  0.6423  0.8577  0.0000  6 Te 3.20-3.46, 2 In 3.36, 1 Pb 3.52
Pb  0.8577  0.3577  0.0000  6 Te 3.20-3.46, 2 In 3.36, 1 Pb 3.52

Record 7
Density functional theory data (GGA-PBE) for crystalline In6Te10Pb at its relaxed geometry.

Summary:
Crystal system: monoclinic

a b c (Å): 10.9947 10.9947 10.8630
angles (deg): 90.05 90.05 88.41
Last column: nearest neighbours and their distance in Å.
Fractional positions:
In  0.0415  0.0415  0.3317  4 Te 2.78-2.92
In  0.1218  0.3871  0.2539  4 Te 2.80-2.90
In  0.2089  0.3736  0.8779  4 Te 2.83-2.89
In  0.3565  0.0871  0.1596  4 Te 2.78-2.89
In  0.4398  0.4717  0.1725  4 Te 2.83-2.87
In  0.5283  0.5602  0.8275  4 Te 2.83-2.87
In  0.6129  0.8782  0.7461  4 Te 2.80-2.90
In  0.6264  0.7911  0.1221  4 Te 2.83-2.89
In  0.6613  0.0624  0.4241  4 Te 2.83-2.88
In  0.9129  0.6435  0.8404  4 Te 2.78-2.89
In  0.9376  0.3387  0.5759  4 Te 2.83-2.88
In  0.9585  0.9585  0.6683  4 Te 2.78-2.92
Te  0.0095  0.5402  0.4322  2 In 2.83-2.84
Te  0.1086  0.7644  0.7412  2 In 2.78
Te  0.1119  0.1441  0.5689  3 In 2.83-2.92
Te  0.2109  0.5531  0.0697  3 In 2.87-2.90
Te  0.2356  0.8914  0.2588  2 In 2.78
Te  0.2883  0.1286  0.9097  2 In 2.83-2.85
Te  0.3526  0.2865  0.3333  3 In 2.87-2.89
Te  0.3530  0.4501  0.6763  2 In 2.83-2.84
Te  0.4469  0.7891  0.9303  3 In 2.87-2.90
Te  0.4598  0.9905  0.5678  2 In 2.83-2.84
Te  0.5499  0.6470  0.3237  2 In 2.83-2.84
Te  0.6145  0.3855  0.0000  2 In 2.83
Te  0.6178  0.0507  0.1629  3 In 2.88-2.89
Te  0.6926  0.3074  0.5000  2 In 2.85
Te  0.7135  0.6474  0.6667  3 In 2.87-2.89
Te  0.7818  0.0397  0.8405  2 In 2.80-2.82
Te  0.8559  0.8881  0.4311  3 In 2.83-2.92
Te  0.8714  0.7117  0.0903  2 In 2.83-2.85
Te  0.9493  0.3822  0.8371  3 In 2.88-2.89
Te  0.9603  0.2182  0.1595  2 In 2.80-2.82
Pb  0.5228  0.2130  0.7507  6 Te 3.24-3.52
Pb  0.7870  0.4772  0.2493  6 Te 3.24-3.52

Record 8
Density functional theory data (GGA-PBE) for crystalline InTe2Pb at its relaxed geometry.

Summary:
Crystal system: trigonal

a b c (Å): 5.4491 5.4491 6.4364
angles (deg): 90.00 90.00 120.00
Last column: nearest neighbours and their distance in Å.
Fractional positions:
In  0.0000  0.0000  0.0000  5 Te 3.15-3.22
Te  0.0000  0.0000  0.5001  3 Pb 3.15, 2 In 3.22
Te  0.6667  0.3333  0.0006  3 In 3.15, 2 Pb 3.21-3.22
Pb  0.6667  0.3333  0.5012  5 Te 3.15-3.22

Record 9
Density functional theory data (GGA-PBE) for crystalline InTe2Pb at its relaxed geometry.

Summary:
Crystal system: monoclinic

a b c (Å): 6.6159 6.6159 5.3798
angles (deg): 113.09 113.09 34.95
Last column: nearest neighbours and their distance in Å.
Fractional positions:
In  0.0000  0.0000  0.0000  6 Te 3.33-3.36, 2 Pb 3.67
Te  0.5018  0.5018  0.4993  2 Pb 3.32, 4 In 3.33-3.35, 2 Te 3.66
Te  0.7352  0.7352  0.2229  4 Pb 3.34-3.35, 2 In 3.36, 2 Te 3.66
Pb  0.2325  0.2325  0.7182  6 Te 3.32-3.35, 2 In 3.67

Record 10
Density functional theory data (GGA-PBE) for crystalline InTe2Pb2 at its relaxed geometry.

Summary:
Excess energy over the best structure of this formula in the dataset (meV per atom): 127
Crystal system: tetragonal

a b c (Å): 8.6649 8.6649 8.6649
angles (deg): 148.52 148.52 45.11
Last column: nearest neighbours and their distance in Å.
Fractional positions:
In  0.0000  0.0000  0.0000  8 Te 3.67
Te  0.4025  0.4025  0.0000  1 Te 3.12, 4 Pb 3.39
Te  0.5975  0.5975  0.0000  1 Te 3.12, 4 Pb 3.39
Pb  0.2500  0.7500  0.5000  4 Pb 3.32, 4 Te 3.39
Pb  0.7500  0.2500  0.5000  4 Pb 3.32, 4 Te 3.39

Record 11
Density functional theory data (GGA-PBE) for crystalline InTe2Pb at its relaxed geometry.

Summary:
Crystal system: monoclinic

a b c (Å): 4.5284 4.5284 7.9239
angles (deg): 106.76 106.76 59.50
Last column: nearest neighbours and their distance in Å.
Fractional positions:
In  0.0000  0.0000  0.0000  6 Te 3.15-3.18
Te  0.2551  0.2551  0.7612  3 In 3.15-3.18, 3 Pb 3.26
Te  0.7449  0.7449  0.2388  3 In 3.15-3.18, 3 Pb 3.26
Pb  0.5000  0.5000  0.5000  6 Te 3.26

Record 12
Density functional theory data (GGA-PBE) for crystalline InTe2Pb at its relaxed geometry.

Summary:
Crystal system: trigonal

a b c (Å): 11.4186 11.4186 11.4186
angles (deg): 17.79 17.79 17.79
Last column: nearest neighbours and their distance in Å.
Fractional positions:
In  0.0000  0.0000  0.0000  6 Te 3.45, 6 In 3.53
Te  0.2508  0.2508  0.2508  3 In 3.45, 3 Pb 3.49, 6 Te 3.53
Te  0.7492  0.7492  0.7492  3 In 3.45, 3 Pb 3.49, 6 Te 3.53
Pb  0.5000  0.5000  0.5000  6 Te 3.49, 6 Pb 3.53

| no. | VASP energy (eV/atom) |
| --- | --- |
| 1 | -2.67 |
| 2 | -3.46 |
| 3 | -3.14 |
| 4 | -3.07 |
| 5 | -3.46 |
| 6 | -3.42 |
| 7 | -3.37 |
| 8 | -3.42 |
| 9 | -3.27 |
| 10 | -3.33 |
| 11 | -3.50 |
| 12 | -3.11 |